## SrNp2N3 (GGA-PBE)

Data for a relaxed structure of SrNp2N3.

Lattice parameters (Å, degrees): 9.2276 9.2276 8.1158 90.00 90.00 157.28
Last column: nearest neighbours and their distance in Å.
Positions (direct):
Sr (0.1601, 0.8399, 0.7500)  2 N 2.51
Sr (0.8399, 0.1601, 0.2500)  2 N 2.51
Np (0.1221, 0.8779, 0.2500)  4 N 2.18-2.23
Np (0.5000, 0.5000, 0.0000)  6 N 2.23-2.31
Np (0.5000, 0.5000, 0.5000)  6 N 2.23-2.31
Np (0.8779, 0.1221, 0.7500)  4 N 2.18-2.23
N (0.0784, 0.9216, 0.5006)  3 Np 2.18-2.31
N (0.0784, 0.9216, 0.9994)  3 Np 2.18-2.31
N (0.4494, 0.5506, 0.7500)  4 Np 2.23
N (0.5506, 0.4494, 0.2500)  4 Np 2.23
N (0.9216, 0.0784, 0.0006)  3 Np 2.18-2.31
N (0.9216, 0.0784, 0.4994)  3 Np 2.18-2.31

Results
Excess energy over the best structure of this formula in the dataset, meV/atom: 197.0
Calculated total energy, eV/atom: -9.568
Theoretical density, kg/m³: 7510
SG: Cmcm, No. 63